Material: CrP2H15N2O11
Method: DFT, PBE with a Hubbard U
State: relaxed

Results
**M_tot**: 0.096 μB per atom
**Final energy**: -5.761 eV per atom
**Calculated volume**: 583.14 Å³/cell

```
data_CrP2H15N2O11
_cell_length_a 7.4662
_cell_length_b 8.9952
_cell_length_c 8.9952
_cell_angle_alpha 85.33
_cell_angle_beta 79.45
_cell_angle_gamma 79.45
_space_group_name_H-M_alt 'P 1'
_space_group_IT_number 1
loop_
_space_group_symop_operation_xyz
'x,y,z'
loop_
_atom_site_label
_atom_site_type_symbol
_atom_site_fract_x
_atom_site_fract_y
_atom_site_fract_z
Cr1 Cr 0.7185 0.2236 0.2236
Cr2 Cr 0.2815 0.7764 0.7764
P1 P 0.3546 0.2469 0.4939
P2 P 0.3546 0.4939 0.2469
P3 P 0.6454 0.7531 0.5061
P4 P 0.6454 0.5061 0.7531
H1 H 0.5000 0.3204 0.6796
H2 H 0.5000 0.6796 0.3204
H3 H 0.8370 0.9606 0.3546
H4 H 0.8370 0.3546 0.9606
H5 H 0.1630 0.0394 0.6454
H6 H 0.1630 0.6454 0.0394
H7 H 0.0212 0.0058 0.2500
H8 H 0.0212 0.2500 0.0058
H9 H 0.9788 0.9942 0.7500
H10 H 0.9788 0.7500 0.9942
H11 H 0.7945 0.4117 0.4117
H12 H 0.2055 0.5883 0.5883
H13 H 0.9627 0.2646 0.3991
H14 H 0.9627 0.3991 0.2646
H15 H 0.0373 0.7354 0.6009
H16 H 0.0373 0.6009 0.7354
H17 H 0.6771 0.0329 0.0329
H18 H 0.3229 0.9671 0.9671
H19 H 0.4960 0.0372 0.1712
H20 H 0.4960 0.1712 0.0372
H21 H 0.5040 0.9628 0.8288
H22 H 0.5040 0.8288 0.9628
H23 H 0.2658 0.8569 0.2795
H24 H 0.2658 0.2795 0.8569
H25 H 0.7342 0.1431 0.7205
H26 H 0.7342 0.7205 0.1431
H27 H 0.2396 0.0185 0.3540
H28 H 0.2396 0.3540 0.0185
H29 H 0.7604 0.9815 0.6460
H30 H 0.7604 0.6460 0.9815
N1 N 0.8775 0.3372 0.3372
N2 N 0.1225 0.6628 0.6628
N3 N 0.5802 0.1029 0.1029
N4 N 0.4198 0.8971 0.8971
O1 O 0.5500 0.1840 0.4147
O2 O 0.5500 0.4147 0.1840
O3 O 0.4500 0.8160 0.5853
O4 O 0.4500 0.5853 0.8160
O5 O 0.3575 0.2884 0.6572
O6 O 0.3575 0.6572 0.2884
O7 O 0.6425 0.7116 0.3428
O8 O 0.6425 0.3428 0.7116
O9 O 0.2101 0.1486 0.4916
O10 O 0.2101 0.4916 0.1486
O11 O 0.7899 0.8514 0.5084
O12 O 0.7899 0.5084 0.8514
O13 O 0.2856 0.4097 0.4097
O14 O 0.7144 0.5903 0.5903
O15 O 0.8810 0.0223 0.2606
O16 O 0.8810 0.2606 0.0223
O17 O 0.1190 0.9777 0.7394
O18 O 0.1190 0.7394 0.9777
O19 O 0.2368 0.9677 0.2599
O20 O 0.2368 0.2599 0.9677
O21 O 0.7632 0.0323 0.7401
O22 O 0.7632 0.7401 0.0323
```